1.
A relaxed BeGa2RePd crystal. Source: the Alexandria database, functional PBEsol.

Cell and atoms, written as POSCAR:
```
BeGa2RePd
1.0
-1.5797 1.8056 -3.1256
2.6719 -2.0878 -2.5565
-2.8277 -3.1445 -0.3874
Re Ga Be Pd
1 2 1 1
direct
0.5000 0.5000 0.5000
0.0000 0.5000 0.0000
0.0000 0.0000 0.5000
0.0000 0.0000 0.0000
0.5000 0.0000 0.0000
```

Calculated values
Total magnetic moment = 0.5 μB per formula unit
Crystal system = tetragonal
Calculated formation energy = 0.752 eV/atom



2.
A relaxed P2PdPbO crystal. Source: the Alexandria database, functional PBEsol.

Cell and atoms, written as POSCAR:
```
P2PdPbO
1.0
3.9871 0.0000 0.0000
0.0000 5.1378 0.0000
0.0000 0.0000 5.1378
O P Pb Pd
1 2 1 1
direct
0.5000 0.0000 0.0000
0.0000 0.0000 0.5000
0.0000 0.5000 0.0000
0.0000 0.0000 0.0000
0.5000 0.5000 0.5000
```

Calculated values
Total magnetic moment = 0.0 μB per formula unit
Formation energy from raw total energies = 1110.7 meV per atom
Crystal system = tetragonal



3.
A relaxed NbCrN2O crystal. Source: the Alexandria database, functional PBEsol.

Cell and atoms, written as POSCAR:
```
NbCrN2O
1.0
-0.7774 -3.2428 -1.1717
-1.1755 -0.9383 3.3769
-3.4092 1.1324 -0.8722
Nb O N Cr
1 1 2 1
direct
0.5000 0.5000 0.5000
0.5000 0.0000 0.0000
0.0000 0.0000 0.5000
0.0000 0.5000 0.0000
0.0000 0.0000 0.0000
```

Calculated values
Total magnetic moment = 0.5 μB per formula unit
Formation energy from raw total energies = -355.0 meV per atom
Crystal system = tetragonal